# 1
LaInCo2: relaxed, PBE.

Lattice parameters (Å, degrees): 4.588 4.586 3.425 90.00 90.00 90.00
Fractional coordinates of all 4 atoms:
La 0.000 0.500 0.500
Co 0.500 0.500 0.000
Co 0.000 0.000 0.000
In 0.500 0.000 0.500

As for the density: 8.56 Mg/m³. The density of states at the Fermi level comes out at 2.07 states/eV/cell. The formation energy is 0.084 eV per atom.



# 2
La2In2Co: relaxed, PBE.

Lattice parameters (Å, degrees): 7.170 7.170 5.116 90.00 90.00 90.00
Fractional coordinates of all 10 atoms:
In 0.652 0.152 0.000
Co 0.500 0.500 0.000
La 0.340 0.160 0.500
In 0.848 0.652 0.000
La 0.660 0.840 0.500
In 0.348 0.848 0.000
La 0.160 0.660 0.500
In 0.152 0.348 0.000
La 0.840 0.340 0.500
Co 0.000 0.000 0.000

As for the density: 7.15 Mg/m³. The density of states at the Fermi level comes out at 13.63 states/eV/cell. The formation energy is -0.090 eV per atom.



# 3
LaInCo2: relaxed, PBE.

Lattice parameters (Å, degrees): 5.700 5.700 5.700 140.52 140.52 57.06
Site moments in Bohr magnetons follow the coordinates.
Fractional coordinates of all 4 atoms:
In 0.500 0.500 0.000  -0.02
Co 0.000 0.000 0.000  0.48
Co 0.250 0.750 0.500  -0.01
La 0.750 0.250 0.500  -0.03

As for the density: 8.31 Mg/m³. The density of states at the Fermi level comes out at 5.65 states/eV/cell. The formation energy is 0.200 eV per atom.



# 4
LaIn3Co: relaxed, PBE.

Lattice parameters (Å, degrees): 4.961 4.961 4.961 90.00 90.00 90.00
Site moments in Bohr magnetons follow the coordinates.
Fractional coordinates of all 5 atoms:
In 0.000 0.000 0.500  0.00
In 0.500 0.000 0.000  0.00
In 0.000 0.500 0.000  0.00
La 0.500 0.500 0.500  0.04
Co 0.000 0.000 0.000  0.25

As for the density: 7.37 Mg/m³. The density of states at the Fermi level comes out at 4.89 states/eV/cell. The formation energy is -0.228 eV per atom.



# 5
LaInCo: relaxed, PBE.

Lattice parameters (Å, degrees): 5.337 7.997 8.044 90.00 122.32 90.00
Fractional coordinates of all 12 atoms:
La 0.606 0.922 0.817
La 0.894 0.422 0.183
In 0.989 0.147 0.673
Co 0.937 0.815 0.627
In 0.511 0.647 0.327
Co 0.437 0.685 0.627
In 0.011 0.853 0.327
La 0.106 0.578 0.817
In 0.489 0.353 0.673
Co 0.063 0.185 0.373
La 0.394 0.078 0.183
Co 0.563 0.315 0.373

As for the density: 7.16 Mg/m³. The density of states at the Fermi level comes out at 8.48 states/eV/cell. The formation energy is -0.164 eV per atom.



# 6
LaInCo2: relaxed, PBE.

Lattice parameters (Å, degrees): 3.178 3.178 7.506 90.00 90.00 90.00
Site moments in Bohr magnetons follow the coordinates.
Fractional coordinates of all 4 atoms:
Co 0.500 0.500 0.203  1.54
La 0.500 0.500 0.794  -0.15
Co 0.000 0.000 0.069  1.52
In 0.000 0.000 0.434  -0.03

As for the density: 8.14 Mg/m³. The density of states at the Fermi level comes out at 4.61 states/eV/cell. The formation energy is 0.047 eV per atom.



# 7
LaInCo: relaxed, PBE.

Lattice parameters (Å, degrees): 6.441 6.441 3.308 75.12 75.12 29.76
Site moments in Bohr magnetons follow the coordinates.
Fractional coordinates of all 3 atoms:
La 0.643 0.643 0.357  -0.09
Co 0.988 0.988 0.012  0.72
In 0.368 0.368 0.632  -0.02

As for the density: 7.91 Mg/m³. The density of states at the Fermi level comes out at 2.44 states/eV/cell. The formation energy is -0.093 eV per atom.



# 8
La4InCo: relaxed, PBE.

Lattice parameters (Å, degrees): 6.132 7.212 9.412 112.53 108.25 90.00
Fractional coordinates of all 12 atoms:
La 0.385 0.125 0.762
La 0.615 0.363 0.238
Co 0.343 0.531 0.062
La 0.204 0.695 0.390
La 0.385 0.637 0.762
In 0.195 0.193 0.386
La 0.615 0.875 0.238
La 0.000 0.241 0.000
Co 0.657 0.469 0.938
La 0.796 0.305 0.610
In 0.805 0.807 0.614
La 0.000 0.759 0.000

As for the density: 6.70 Mg/m³. The density of states at the Fermi level comes out at 11.80 states/eV/cell. The formation energy is -0.258 eV per atom. Its energy relative to the lowest polymorph listed for this composition is 0.000 eV/atom.